# HoPuOs2 | the Alexandria database | PBE-GGA | relaxed
# DOS(E_F) = 15.02 states/eV/cell
# crystal system = cubic
# volume = 310.19 Å³ per cell
# formation energy from the elements = -52.8 meV per atom
# raw total energy = -0.3820 Ha/atom
# magnetic moment = 3.8 μB/f.u.
data_HoPuOs2
_chemical_formula_sum 'Ho4 Pu4 Os8'
_space_group_name_H-M_alt 'F m -3 m'
_space_group_IT_number 225
_space_group_name_Hall '-F 4 2 3'
_cell_length_a 6.769
_cell_length_b 6.769
_cell_length_c 6.769
_cell_angle_alpha 90.00
_cell_angle_beta 90.00
_cell_angle_gamma 90.00
loop_
_atom_site_label
_atom_site_fract_x
_atom_site_fract_y
_atom_site_fract_z
Ho1 0.000 0.000 0.000
Pu1 0.000 0.000 0.500
Os1 0.250 0.250 0.250